## a
The following is a PBE-GGA calculation of crystalline MnCd2Mo at its relaxed geometry, from the Alexandria database.

POSCAR file:
```
MnCd2Mo
1.0
-0.0571 1.9716 4.2007
0.2795 -2.6400 3.8064
3.8518 0.0599 2.5877
Cd Mn Mo
2 1 1
Cartesian
0.0000 0.0000 0.0000 Cd
1.0186 -0.1521 2.6487 Cd
2.0371 -0.3043 5.2974 Mn
3.0557 -0.4564 7.9460 Mo
```

Calculated values
theoretical density: 8.8 g/cm³
crystal system: cubic
V: 17.67 A^3/atom
density of states at the Fermi level: 2.390 states/eV/cell
spin magnetization: 1.529 μB/f.u.
space group: F-43m, No. 216

## b
The following is a PBE-GGA calculation of crystalline MnCd2Mo at its relaxed geometry, from the Alexandria database.

POSCAR file:
```
MnCd2Mo
1.0
-1.6243 -1.5569 1.7278
-0.8490 -1.5615 -2.2110
6.6958 -5.5157 1.3243
Cd Mn Mo
2 1 1
Cartesian
0.0404 -0.0333 0.0080 Cd
3.3075 -2.7246 0.6542 Cd
0.4373 -2.9381 0.0895 Mn
3.7852 -5.6960 0.7516 Mo
```

Calculated values
theoretical density: 8.8 g/cm³
crystal system: tetragonal
V: 17.66 A^3/atom
density of states at the Fermi level: 2.942 states/eV/cell
spin magnetization: 3.820 μB/f.u.
space group: P4/mmm, No. 123

## c
The following is a PBE-GGA calculation of crystalline MnCd2Mo at its relaxed geometry, from the Alexandria database.

POSCAR file:
```
MnCd2Mo
1.0
9.6674 0.0484 0.0284
9.2011 2.9667 0.0284
9.2011 1.4703 2.5769
Cd Mn Mo
2 1 1
Cartesian
0.1805 0.0288 0.0169 Cd
6.7517 1.0789 0.6335 Cd
13.7676 2.2000 1.2918 Mn
21.4045 3.4203 2.0083 Mo
```

Calculated values
theoretical density: 8.7 g/cm³
crystal system: trigonal
V: 17.99 A^3/atom
density of states at the Fermi level: 2.339 states/eV/cell
spin magnetization: 1.745 μB/f.u.
space group: R3m, No. 160

Top of the stability list: c, leading by 9.1 kJ/mol of atoms.

## a
The following is a PBE-GGA calculation of crystalline MnCd2Mo at its relaxed geometry, from the Alexandria database.

POSCAR file:
```
MnCd2Mo
1.0
4.8452 -0.0550 0.0000
1.0269 4.7355 0.0000
-2.9361 -2.3403 3.0630
Cd Mn Mo
2 1 1
Cartesian
0.0000 0.0000 0.0000 Cd
0.5135 2.3677 1.5315 Cd
2.9361 2.3403 0.0000 Mn
2.4226 -0.0275 1.5315 Mo
```

Calculated values
theoretical density: 8.9 g/cm³
crystal system: tetragonal
V: 17.61 A^3/atom
density of states at the Fermi level: 2.444 states/eV/cell
spin magnetization: 1.694 μB/f.u.
space group: I-4m2, No. 119

## b
The following is a PBE-GGA calculation of crystalline MnCd2Mo at its relaxed geometry, from the Alexandria database.

POSCAR file:
```
MnCd2Mo
1.0
-1.3770 2.4355 -4.0738
1.7936 -3.6603 -2.7945
-2.6137 -1.3425 0.0809
Cd Mn Mo
2 1 1
Cartesian
0.0000 0.0000 0.0000 Cd
0.2083 -0.6124 -3.4341 Cd
-1.9954 0.5465 -1.9965 Mn
-0.4101 -2.5014 -1.3568 Mo
```

Calculated values
theoretical density: 8.7 g/cm³
crystal system: tetragonal
V: 17.95 A^3/atom
density of states at the Fermi level: 3.345 states/eV/cell
spin magnetization: 3.666 μB/f.u.
space group: P4/mmm, No. 123

Top of the stability list: a, leading by 6.9 kJ/mol of atoms.